Entry P
Density functional theory data (PBE) for a geometry-optimized LaBi2Mo structure.

It has space group Fm-3m (No. 225), with a = 7.407 Å, b = 7.407 Å, c = 7.407 Å, α = 90.00°, β = 90.00° and γ = 90.00°. The inequivalent atoms are La at (0.000, 0.000, 0.000), Bi at (0.250, 0.250, 0.250) and Mo at (0.000, 0.000, 0.500).

As for the calculated volume: 406.3 Å³ per cell.

Entry Q
Density functional theory data (PBE) for a geometry-optimized LaBi2Mo structure.

It has space group I-42d (No. 122), with a = 5.296 Å, b = 5.296 Å, c = 18.644 Å, α = 90.00°, β = 90.00° and γ = 90.00°. The inequivalent atoms are La at (0.000, 0.000, 0.000), Bi at (0.151, 0.250, 0.625) and Mo at (0.000, 0.000, 0.500).

As for the calculated volume: 523.0 Å³ per cell.

Energy relative to the most stable one, in meV per atom: entry P 0; entry Q 452

Entry P
Density functional theory data (PBE) for a geometry-optimized LaBi3N structure.

It has space group Pm-3m (No. 221), with a = 6.232 Å, b = 6.232 Å, c = 6.232 Å, α = 90.00°, β = 90.00° and γ = 90.00°. The inequivalent atoms are La at (0.000, 0.000, 0.000), Bi at (0.000, 0.000, 0.500) and N at (0.500, 0.500, 0.500).

As for the calculated volume: 242.0 Å³ per cell.

Entry Q
Density functional theory data (PBE) for a geometry-optimized LaBi3N structure.

It has space group Pm-3m (No. 221), with a = 5.057 Å, b = 5.057 Å, c = 5.057 Å, α = 90.00°, β = 90.00° and γ = 90.00°. The inequivalent atoms are La at (0.000, 0.000, 0.000), Bi at (0.000, 0.500, 0.500) and N at (0.500, 0.500, 0.500).

As for the calculated volume: 129.3 Å³ per cell.

Energy relative to the most stable one, in meV per atom: entry P 1391; entry Q 0